Computed, not measured: Sr3OsN3 after structural relaxation at the PBE-GGA level of DFT.

Output
Formation energy from raw total energies in eV/f.u.: -3.92
Energy above the most stable polymorph in this dataset in meV per atom: 2.2
N(E_F) in states/eV per cell: 7.0

abc: 7.811 7.811 5.351
angles: 90.00 90.00 120.00
Fractional coordinates of all 14 atoms:
Sr: 0.358 0.261 0.750
Sr: 0.903 0.642 0.750
Sr: 0.739 0.097 0.750
Sr: 0.642 0.739 0.250
Sr: 0.097 0.358 0.250
Sr: 0.261 0.903 0.250
Os: 0.667 0.333 0.250
Os: 0.333 0.667 0.750
N: 0.416 0.308 0.250
N: 0.892 0.584 0.250
N: 0.692 0.108 0.250
N: 0.584 0.692 0.750
N: 0.108 0.416 0.750
N: 0.308 0.892 0.750

Computed, not measured: SrOsN2 after structural relaxation at the PBE-GGA level of DFT.

Output
Formation energy from raw total energies in eV/f.u.: 1.47
Energy above the most stable polymorph in this dataset in meV per atom: 532.4
N(E_F) in states/eV per cell: 2.9

abc: 6.824 6.824 6.824
angles: 30.64 30.64 30.64
Fractional coordinates of all 4 atoms:
Sr: 0.500 0.500 0.500
Os: 0.000 0.000 0.000
N: 0.908 0.908 0.908
N: 0.092 0.092 0.092

Computed, not measured: SrTb2OsN4 after structural relaxation at the PBE-GGA level of DFT.

Output
Formation energy from raw total energies in eV/f.u.: -6.79
N(E_F) in states/eV per cell: 5.3

abc: 3.498 6.267 12.166
angles: 90.00 90.00 106.20
Fractional coordinates of all 16 atoms:
Sr: 0.071 0.141 0.750
Sr: 0.929 0.859 0.250
Tb: 0.370 0.740 0.542
Tb: 0.630 0.260 0.042
Tb: 0.630 0.260 0.458
Tb: 0.370 0.740 0.958
Os: 0.812 0.623 0.750
Os: 0.188 0.377 0.250
N: 0.258 0.516 0.110
N: 0.742 0.484 0.610
N: 0.742 0.484 0.890
N: 0.258 0.516 0.390
N: 0.000 0.000 0.500
N: 0.000 0.000 0.000
N: 0.395 0.790 0.750
N: 0.605 0.210 0.250

Computed, not measured: Sr2TbOs2N6 after structural relaxation at the PBE-GGA level of DFT.

Output
Formation energy from raw total energies in eV/f.u.: -4.64
N(E_F) in states/eV per cell: 4.5

abc: 5.968 5.968 6.960
angles: 64.61 64.61 60.00
Fractional coordinates of all 11 atoms:
Sr: 0.791 0.791 0.628
Sr: 0.209 0.209 0.372
Tb: 0.000 0.000 0.000
Os: 0.401 0.401 0.796
Os: 0.599 0.599 0.204
N: 0.744 0.744 0.271
N: 0.241 0.744 0.271
N: 0.744 0.241 0.271
N: 0.256 0.759 0.729
N: 0.759 0.256 0.729
N: 0.256 0.256 0.729